*P*
# GGA-PBE K3SrRu, relaxed
# mass density = 2.10 g cm⁻³
data_K3SrRu
_chemical_formula_sum 'K3 Sr1 Ru1'
_space_group_name_H-M_alt 'P 1'
_space_group_IT_number 1
_space_group_name_Hall 'P 1'
_cell_length_a 6.230
_cell_length_b 6.230
_cell_length_c 6.230
_cell_angle_alpha 90.00
_cell_angle_beta 90.00
_cell_angle_gamma 90.00
loop_
_atom_site_label
_atom_site_type_symbol
_atom_site_fract_x
_atom_site_fract_y
_atom_site_fract_z
_atom_site_occupancy
K1 K 0.000 0.000 0.500 1
K2 K 0.000 0.500 0.000 1
K3 K 0.500 0.000 0.000 1
Sr1 Sr 0.500 0.500 0.500 1
Ru1 Ru 0.000 0.000 0.000 1

***

*Q*
# GGA-PBE K3SrRu, relaxed
# mass density = 1.23 g cm⁻³
data_K3SrRu
_chemical_formula_sum 'K3 Sr1 Ru1'
_space_group_name_H-M_alt 'P 1'
_space_group_IT_number 1
_space_group_name_Hall 'P 1'
_cell_length_a 7.457
_cell_length_b 7.457
_cell_length_c 7.457
_cell_angle_alpha 90.00
_cell_angle_beta 90.00
_cell_angle_gamma 90.00
loop_
_atom_site_label
_atom_site_type_symbol
_atom_site_fract_x
_atom_site_fract_y
_atom_site_fract_z
_atom_site_occupancy
K1 K 0.000 0.000 0.500 1
K2 K 0.000 0.500 0.000 1
K3 K 0.500 0.000 0.000 1
Sr1 Sr 0.000 0.000 0.000 1
Ru1 Ru 0.500 0.500 0.500 1

***

What should be chosen as the least stable of them? Choose *Q*.

***

*P*
# GGA-PBE KSrRu, relaxed
# mass density = 4.60 g cm⁻³
data_KSrRu
_chemical_formula_sum 'K1 Sr1 Ru1'
_space_group_name_H-M_alt 'P 1'
_space_group_IT_number 1
_space_group_name_Hall 'P 1'
_cell_length_a 5.410
_cell_length_b 5.410
_cell_length_c 3.241
_cell_angle_alpha 90.00
_cell_angle_beta 90.00
_cell_angle_gamma 120.00
loop_
_atom_site_label
_atom_site_type_symbol
_atom_site_fract_x
_atom_site_fract_y
_atom_site_fract_z
_atom_site_occupancy
K1 K 0.000 0.000 0.000 1
Sr1 Sr 0.333 0.667 0.666 1
Ru1 Ru 0.667 0.333 0.272 1

***

*Q*
# GGA-PBE KSrRu, relaxed
# mass density = 3.78 g cm⁻³
data_KSrRu
_chemical_formula_sum 'K1 Sr1 Ru1'
_space_group_name_H-M_alt 'P 1'
_space_group_IT_number 1
_space_group_name_Hall 'P 1'
_cell_length_a 3.641
_cell_length_b 3.641
_cell_length_c 8.708
_cell_angle_alpha 90.00
_cell_angle_beta 90.00
_cell_angle_gamma 120.00
loop_
_atom_site_label
_atom_site_type_symbol
_atom_site_fract_x
_atom_site_fract_y
_atom_site_fract_z
_atom_site_occupancy
K1 K 0.000 0.000 0.000 1
Sr1 Sr 0.333 0.667 0.513 1
Ru1 Ru 0.667 0.333 0.282 1

***

What should be chosen as the least stable of them? Choose *P*.

***

*P*
# GGA-PBE KSrRu, relaxed
# mass density = 3.64 g cm⁻³
data_KSrRu
_chemical_formula_sum 'K2 Sr2 Ru2'
_space_group_name_H-M_alt 'P 1'
_space_group_IT_number 1
_space_group_name_Hall 'P 1'
_cell_length_a 3.427
_cell_length_b 3.784
_cell_length_c 16.043
_cell_angle_alpha 90.00
_cell_angle_beta 90.00
_cell_angle_gamma 90.00
loop_
_atom_site_label
_atom_site_type_symbol
_atom_site_fract_x
_atom_site_fract_y
_atom_site_fract_z
_atom_site_occupancy
K1 K 0.000 0.000 0.000 1
K2 K 0.500 0.500 0.500 1
Sr1 Sr 0.000 0.000 0.244 1
Sr2 Sr 0.500 0.500 0.744 1
Ru1 Ru 0.000 0.000 0.639 1
Ru2 Ru 0.500 0.500 0.139 1

***

*Q*
# GGA-PBE KSrRu, relaxed
# mass density = 3.55 g cm⁻³
data_KSrRu
_chemical_formula_sum 'K4 Sr4 Ru4'
_space_group_name_H-M_alt 'P 1'
_space_group_IT_number 1
_space_group_name_Hall 'P 1'
_cell_length_a 7.525
_cell_length_b 7.525
_cell_length_c 7.525
_cell_angle_alpha 90.00
_cell_angle_beta 90.00
_cell_angle_gamma 90.00
loop_
_atom_site_label
_atom_site_type_symbol
_atom_site_fract_x
_atom_site_fract_y
_atom_site_fract_z
_atom_site_occupancy
K1 K 0.000 0.000 0.000 1
K2 K 0.000 0.500 0.500 1
K3 K 0.500 0.000 0.500 1
K4 K 0.500 0.500 0.000 1
Sr1 Sr 0.000 0.000 0.500 1
Sr2 Sr 0.000 0.500 0.000 1
Sr3 Sr 0.500 0.000 0.000 1
Sr4 Sr 0.500 0.500 0.500 1
Ru1 Ru 0.250 0.250 0.250 1
Ru2 Ru 0.250 0.750 0.750 1
Ru3 Ru 0.750 0.250 0.750 1
Ru4 Ru 0.750 0.750 0.250 1

***

What should be chosen as the least stable of them? Choose *Q*.

***

*P*
# GGA-PBE K2TaRu, relaxed
# mass density = 5.86 g cm⁻³
data_K2TaRu
_chemical_formula_sum 'K8 Ta4 Ru4'
_space_group_name_H-M_alt 'P 1'
_space_group_IT_number 1
_space_group_name_Hall 'P 1'
_cell_length_a 7.420
_cell_length_b 7.420
_cell_length_c 7.420
_cell_angle_alpha 90.00
_cell_angle_beta 90.00
_cell_angle_gamma 90.00
loop_
_atom_site_label
_atom_site_type_symbol
_atom_site_fract_x
_atom_site_fract_y
_atom_site_fract_z
_atom_site_occupancy
K1 K 0.250 0.250 0.250 1
K2 K 0.250 0.250 0.750 1
K3 K 0.250 0.750 0.250 1
K4 K 0.250 0.750 0.750 1
K5 K 0.750 0.250 0.250 1
K6 K 0.750 0.250 0.750 1
K7 K 0.750 0.750 0.250 1
K8 K 0.750 0.750 0.750 1
Ta1 Ta 0.000 0.000 0.000 1
Ta2 Ta 0.000 0.500 0.500 1
Ta3 Ta 0.500 0.000 0.500 1
Ta4 Ta 0.500 0.500 0.000 1
Ru1 Ru 0.000 0.000 0.500 1
Ru2 Ru 0.000 0.500 0.000 1
Ru3 Ru 0.500 0.000 0.000 1
Ru4 Ru 0.500 0.500 0.500 1

***

*Q*
# GGA-PBE K2TaRu, relaxed
# mass density = 6.65 g cm⁻³
data_K2TaRu
_chemical_formula_sum 'K4 Ta2 Ru2'
_space_group_name_H-M_alt 'P 1'
_space_group_IT_number 1
_space_group_name_Hall 'P 1'
_cell_length_a 3.845
_cell_length_b 3.845
_cell_length_c 12.178
_cell_angle_alpha 90.00
_cell_angle_beta 90.00
_cell_angle_gamma 90.00
loop_
_atom_site_label
_atom_site_type_symbol
_atom_site_fract_x
_atom_site_fract_y
_atom_site_fract_z
_atom_site_occupancy
K1 K 0.000 0.500 0.250 1
K2 K 0.000 0.500 0.750 1
K3 K 0.500 0.000 0.250 1
K4 K 0.500 0.000 0.750 1
Ta1 Ta 0.000 0.000 0.000 1
Ta2 Ta 0.500 0.500 0.500 1
Ru1 Ru 0.000 0.000 0.500 1
Ru2 Ru 0.500 0.500 0.000 1

***

What should be chosen as the least stable of them? Choose *P*.

***

*P*
# GGA-PBE K2TaRu2, relaxed
# mass density = 6.19 g cm⁻³
data_K2TaRu2
_chemical_formula_sum 'K4 Ta2 Ru4'
_space_group_name_H-M_alt 'P 1'
_space_group_IT_number 1
_space_group_name_Hall 'P 1'
_cell_length_a 6.391
_cell_length_b 6.391
_cell_length_c 6.059
_cell_angle_alpha 90.00
_cell_angle_beta 90.00
_cell_angle_gamma 90.00
loop_
_atom_site_label
_atom_site_type_symbol
_atom_site_fract_x
_atom_site_fract_y
_atom_site_fract_z
_atom_site_occupancy
K1 K 0.176 0.324 0.000 1
K2 K 0.324 0.824 0.000 1
K3 K 0.676 0.176 0.000 1
K4 K 0.824 0.676 0.000 1
Ta1 Ta 0.000 0.000 0.500 1
Ta2 Ta 0.500 0.500 0.500 1
Ru1 Ru 0.137 0.637 0.500 1
Ru2 Ru 0.363 0.137 0.500 1
Ru3 Ru 0.637 0.863 0.500 1
Ru4 Ru 0.863 0.363 0.500 1

***

*Q*
# GGA-PBE K2TaRu2, relaxed
# mass density = 7.03 g cm⁻³
data_K2TaRu2
_chemical_formula_sum 'K4 Ta2 Ru4'
_space_group_name_H-M_alt 'P 1'
_space_group_IT_number 1
_space_group_name_Hall 'P 1'
_cell_length_a 3.728
_cell_length_b 3.728
_cell_length_c 15.693
_cell_angle_alpha 90.00
_cell_angle_beta 90.00
_cell_angle_gamma 90.00
loop_
_atom_site_label
_atom_site_type_symbol
_atom_site_fract_x
_atom_site_fract_y
_atom_site_fract_z
_atom_site_occupancy
K1 K 0.000 0.500 0.250 1
K2 K 0.000 0.500 0.750 1
K3 K 0.500 0.000 0.250 1
K4 K 0.500 0.000 0.750 1
Ta1 Ta 0.000 0.000 0.000 1
Ta2 Ta 0.500 0.500 0.500 1
Ru1 Ru 0.000 0.000 0.425 1
Ru2 Ru 0.000 0.000 0.575 1
Ru3 Ru 0.500 0.500 0.075 1
Ru4 Ru 0.500 0.500 0.925 1

***

What should be chosen as the least stable of them? Choose *Q*.

***

*P*
# GGA-PBE KTaRu3, relaxed
# mass density = 7.52 g cm⁻³
data_KTaRu3
_chemical_formula_sum 'K1 Ta1 Ru3'
_space_group_name_H-M_alt 'P 1'
_space_group_IT_number 1
_space_group_name_Hall 'P 1'
_cell_length_a 4.871
_cell_length_b 4.871
_cell_length_c 4.871
_cell_angle_alpha 90.00
_cell_angle_beta 90.00
_cell_angle_gamma 90.00
loop_
_atom_site_label
_atom_site_type_symbol
_atom_site_fract_x
_atom_site_fract_y
_atom_site_fract_z
_atom_site_occupancy
K1 K 0.000 0.000 0.000 1
Ta1 Ta 0.500 0.500 0.500 1
Ru1 Ru 0.000 0.500 0.500 1
Ru2 Ru 0.500 0.000 0.500 1
Ru3 Ru 0.500 0.500 0.000 1

***

*Q*
# GGA-PBE KTaRu3, relaxed
# mass density = 9.70 g cm⁻³
data_KTaRu3
_chemical_formula_sum 'K1 Ta1 Ru3'
_space_group_name_H-M_alt 'P 1'
_space_group_IT_number 1
_space_group_name_Hall 'P 1'
_cell_length_a 4.474
_cell_length_b 4.474
_cell_length_c 4.474
_cell_angle_alpha 90.00
_cell_angle_beta 90.00
_cell_angle_gamma 90.00
loop_
_atom_site_label
_atom_site_type_symbol
_atom_site_fract_x
_atom_site_fract_y
_atom_site_fract_z
_atom_site_occupancy
K1 K 0.000 0.000 0.000 1
Ta1 Ta 0.500 0.500 0.500 1
Ru1 Ru 0.000 0.000 0.500 1
Ru2 Ru 0.000 0.500 0.000 1
Ru3 Ru 0.500 0.000 0.000 1

***

What should be chosen as the least stable of them? Choose *Q*.

***

*P*
# GGA-PBE KZrTc2Ru, relaxed
# mass density = 6.00 g cm⁻³
data_KZrTc2Ru
_chemical_formula_sum 'K1 Zr1 Tc2 Ru1'
_space_group_name_H-M_alt 'P 1'
_space_group_IT_number 1
_space_group_name_Hall 'P 1'
_cell_length_a 4.754
_cell_length_b 4.754
_cell_length_c 5.230
_cell_angle_alpha 90.00
_cell_angle_beta 90.00
_cell_angle_gamma 90.00
loop_
_atom_site_label
_atom_site_type_symbol
_atom_site_fract_x
_atom_site_fract_y
_atom_site_fract_z
_atom_site_occupancy
K1 K 0.000 0.000 0.000 1
Zr1 Zr 0.000 0.000 0.500 1
Tc1 Tc 0.000 0.500 0.500 1
Tc2 Tc 0.500 0.000 0.500 1
Ru1 Ru 0.500 0.500 0.000 1

***

*Q*
# GGA-PBE KZrTc2Ru, relaxed
# mass density = 6.04 g cm⁻³
data_KZrTc2Ru
_chemical_formula_sum 'K1 Zr1 Tc2 Ru1'
_space_group_name_H-M_alt 'P 1'
_space_group_IT_number 1
_space_group_name_Hall 'P 1'
_cell_length_a 4.834
_cell_length_b 4.834
_cell_length_c 5.025
_cell_angle_alpha 90.00
_cell_angle_beta 90.00
_cell_angle_gamma 90.00
loop_
_atom_site_label
_atom_site_type_symbol
_atom_site_fract_x
_atom_site_fract_y
_atom_site_fract_z
_atom_site_occupancy
K1 K 0.000 0.000 0.000 1
Zr1 Zr 0.500 0.500 0.000 1
Tc1 Tc 0.000 0.500 0.500 1
Tc2 Tc 0.500 0.000 0.500 1
Ru1 Ru 0.500 0.500 0.500 1

***

What should be chosen as the least stable of them? Choose *P*.

***

*P*
# GGA-PBE KTeRu3, relaxed
# mass density = 6.41 g cm⁻³
data_KTeRu3
_chemical_formula_sum 'K1 Te1 Ru3'
_space_group_name_H-M_alt 'P 1'
_space_group_IT_number 1
_space_group_name_Hall 'P 1'
_cell_length_a 4.956
_cell_length_b 4.956
_cell_length_c 4.956
_cell_angle_alpha 90.00
_cell_angle_beta 90.00
_cell_angle_gamma 90.00
loop_
_atom_site_label
_atom_site_type_symbol
_atom_site_fract_x
_atom_site_fract_y
_atom_site_fract_z
_atom_site_occupancy
K1 K 0.000 0.000 0.000 1
Te1 Te 0.500 0.500 0.500 1
Ru1 Ru 0.000 0.500 0.500 1
Ru2 Ru 0.500 0.000 0.500 1
Ru3 Ru 0.500 0.500 0.000 1

***

*Q*
# GGA-PBE KTeRu3, relaxed
# mass density = 7.08 g cm⁻³
data_KTeRu3
_chemical_formula_sum 'K1 Te1 Ru3'
_space_group_name_H-M_alt 'P 1'
_space_group_IT_number 1
_space_group_name_Hall 'P 1'
_cell_length_a 4.794
_cell_length_b 4.794
_cell_length_c 4.794
_cell_angle_alpha 90.00
_cell_angle_beta 90.00
_cell_angle_gamma 90.00
loop_
_atom_site_label
_atom_site_type_symbol
_atom_site_fract_x
_atom_site_fract_y
_atom_site_fract_z
_atom_site_occupancy
K1 K 0.000 0.000 0.000 1
Te1 Te 0.500 0.500 0.500 1
Ru1 Ru 0.000 0.000 0.500 1
Ru2 Ru 0.000 0.500 0.000 1
Ru3 Ru 0.500 0.000 0.000 1

***

What should be chosen as the least stable of them? Choose *Q*.